This record from Alexandria via LeMat-Bulk describes crystalline DyErIrAu at its relaxed geometry. The functional is PBE.

```
4
Lattice="3.503 0.000 0.000 0.000 3.503 0.000 0.000 0.000 7.013" Properties=species:S:1:pos:R:3 pbc="T T T"
Dy 0.000 0.000 0.000
Er 0.000 0.000 3.744
Ir 1.751 1.751 5.360
Au 1.751 1.751 1.907
```

Energy of formation from the pure elements in eV/atom: -0.8603

***

This record from Alexandria via LeMat-Bulk describes crystalline Pr2CdSn9 at its relaxed geometry. The functional is PBE.

```
12
Lattice="4.698 0.000 0.000 0.000 4.698 0.000 0.000 0.000 14.867" Properties=species:S:1:pos:R:3 pbc="T T T"
Pr 0.000 0.000 2.371
Pr 0.000 0.000 12.496
Cd 0.000 0.000 7.434
Sn 0.000 2.349 0.000
Sn 0.000 2.349 5.007
Sn 0.000 2.349 9.861
Sn 2.349 0.000 0.000
Sn 2.349 0.000 5.007
Sn 2.349 0.000 9.861
Sn 2.349 2.349 2.565
Sn 2.349 2.349 7.434
Sn 2.349 2.349 12.302
```

Energy of formation from the pure elements in eV/atom: -0.3097

***

This record from Alexandria via LeMat-Bulk describes crystalline FeP2BrCl at its relaxed geometry. The functional is PBE.

```
5
Lattice="4.422 0.000 0.000 0.000 4.422 0.000 0.000 0.000 4.694" Properties=species:S:1:pos:R:3 pbc="T T T"
Fe 0.000 0.000 0.000
P 0.000 2.211 0.000
P 2.211 0.000 0.000
Br 2.211 2.211 2.347
Cl 0.000 0.000 2.347
```

Formation energy from raw total energies in eV per atom: 0.361

***

This record from Alexandria via LeMat-Bulk describes crystalline SrTiN2O at its relaxed geometry. The functional is PBE.

```
5
Lattice="4.254 0.000 0.000 0.000 4.254 0.000 0.000 0.000 4.364" Properties=species:S:1:pos:R:3 pbc="T T T"
Sr 0.000 0.000 0.000
Ti 2.127 2.127 2.182
N 0.000 2.127 0.000
N 2.127 0.000 0.000
O 0.000 0.000 2.182
```

Formation energy from raw total energies in eV per atom: 1.266

***

This record from Alexandria via LeMat-Bulk describes crystalline Rb3TlIn8 at its relaxed geometry. The functional is PBE.

```
12
Lattice="3.271 1.889 10.620 -3.271 1.889 10.620 0.000 -3.777 10.620" Properties=species:S:1:pos:R:3 pbc="T T T"
Rb 0.000 0.000 0.000
Rb 0.000 0.000 3.999
Rb 0.000 0.000 19.827
Tl 0.000 0.000 15.830
In 0.000 -1.891 7.238
In -1.638 0.946 7.238
In -1.637 -0.945 12.651
In 0.000 0.000 10.050
In 1.638 0.946 7.238
In 1.637 -0.945 12.651
In 0.000 1.890 12.651
In 0.000 0.000 25.828
```

Energy of formation from the pure elements in eV/atom: -0.0490

***

This record from Alexandria via LeMat-Bulk describes crystalline NaLa2Y2 at its relaxed geometry. The functional is PBE.

```
10
Lattice="9.813 0.000 0.000 0.000 9.813 0.000 0.000 0.000 3.813" Properties=species:S:1:pos:R:3 pbc="T T T"
Na 0.000 0.000 0.000
Na 4.907 4.907 0.000
La 1.207 3.699 0.000
La 3.699 8.606 0.000
La 6.114 1.207 0.000
La 8.606 6.114 0.000
Y 1.718 6.624 1.906
Y 3.189 1.718 1.906
Y 6.624 8.096 1.906
Y 8.096 3.189 1.906
```

Energy of formation from the pure elements in eV/atom: 0.2961

***

This record from Alexandria via LeMat-Bulk describes crystalline NaAc2Ni at its relaxed geometry. The functional is PBE.

```
12
Lattice="4.280 0.000 0.000 -2.140 3.706 0.000 0.000 0.000 29.153" Properties=species:S:1:pos:R:3 pbc="T T T"
Na 0.000 0.000 0.000
Na 0.000 2.471 19.435
Na 2.140 1.235 9.718
Ac 0.000 0.000 6.440
Ac 0.000 0.000 13.008
Ac 0.000 2.471 3.290
Ac 0.000 2.471 25.875
Ac 2.140 1.235 16.158
Ac 2.140 1.235 22.725
Ni 0.000 0.000 24.303
Ni 0.000 2.471 14.586
Ni 2.140 1.235 4.868
```

Energy of formation from the pure elements in eV/atom: -0.0864

***

This record from Alexandria via LeMat-Bulk describes crystalline ZnOsBr2 at its relaxed geometry. The functional is PBE.

```
8
Lattice="3.145 0.000 0.000 0.000 5.872 0.000 0.000 0.000 9.564" Properties=species:S:1:pos:R:3 pbc="T T T"
Zn 0.000 0.000 0.000
Zn 1.572 2.936 0.000
Os 0.000 2.936 2.079
Os 1.572 0.000 2.079
Br 0.000 0.000 4.001
Br 0.000 2.936 7.625
Br 1.572 0.000 7.625
Br 1.572 2.936 4.001
```

Formation energy from raw total energies in eV per atom: 0.504